Entry 1:
The following is a DFT calculation (PBE) of ThAl4Cu4 after structural relaxation.

Total magnetic moment, μB/f.u.: 0.00
Energy relative to the lowest polymorph listed for this composition, meV/atom: 0
Space group: P4_2/nmc, No. 137
Crystal system: tetragonal
Energy of formation from the pure elements, eV/atom: -0.300

a b c (Å): 5.9203 5.9203 8.4173
angles (deg): 90.00 90.00 90.00
Fractional positions:
Th1 0.2500 0.7500 0.2500
Th2 0.7500 0.2500 0.7500
Al1 0.0173 0.2500 0.1433
Al2 0.2500 0.0173 0.6433
Al3 0.2500 0.4827 0.6433
Al4 0.4827 0.2500 0.1433
Al5 0.5173 0.7500 0.8567
Al6 0.7500 0.5173 0.3567
Al7 0.7500 0.9827 0.3567
Al8 0.9827 0.7500 0.8567
Cu1 0.0442 0.2500 0.4382
Cu2 0.2500 0.0442 0.9382
Cu3 0.2500 0.4558 0.9382
Cu4 0.4558 0.2500 0.4382
Cu5 0.5442 0.7500 0.5618
Cu6 0.7500 0.5442 0.0618
Cu7 0.7500 0.9558 0.0618
Cu8 0.9558 0.7500 0.5618

Entry 2:
The following is a DFT calculation (PBE) of Th4AlCu2 after structural relaxation.

Total magnetic moment, μB/f.u.: 0.00
Space group: R-3m, No. 166
Crystal system: trigonal
Energy of formation from the pure elements, eV/atom: 0.067

a b c (Å): 8.7509 8.7509 8.7509
angles (deg): 33.78 33.78 33.78
Fractional positions:
Th1 0.1214 0.1214 0.1214
Th2 0.2849 0.2849 0.2849
Th3 0.7151 0.7151 0.7151
Th4 0.8786 0.8786 0.8786
Al1 0.5000 0.5000 0.5000
Cu1 0.3992 0.3992 0.3992
Cu2 0.6008 0.6008 0.6008

Entry 3:
The following is a DFT calculation (PBE) of ThAl7Cu2 after structural relaxation.

Total magnetic moment, μB/f.u.: 0.00
Space group: Cmmm, No. 65
Crystal system: orthorhombic
Energy of formation from the pure elements, eV/atom: 0.124

a b c (Å): 7.6825 7.6825 4.2004
angles (deg): 90.00 90.00 121.45
Fractional positions:
Th1 0.0000 0.0000 0.0000
Al1 0.0340 0.3361 0.5000
Al2 0.2374 0.7626 0.0000
Al3 0.3361 0.0340 0.5000
Al4 0.5000 0.5000 0.5000
Al5 0.6639 0.9660 0.5000
Al6 0.7626 0.2374 0.0000
Al7 0.9660 0.6639 0.5000
Cu1 0.3236 0.6764 0.5000
Cu2 0.6764 0.3236 0.5000

Entry 4:
The following is a DFT calculation (PBE) of Th3Al2Cu4 after structural relaxation.

Total magnetic moment, μB/f.u.: 0.00
Space group: C2/m, No. 12
Crystal system: monoclinic
Energy of formation from the pure elements, eV/atom: -0.268

a b c (Å): 5.8854 5.8854 8.4249
angles (deg): 111.81 111.81 43.70
Fractional positions:
Th1 0.0000 0.0000 0.0000
Th2 0.3633 0.3633 0.3167
Th3 0.6367 0.6367 0.6833
Al1 0.3490 0.3490 0.6885
Al2 0.6510 0.6510 0.3115
Cu1 0.0955 0.0955 0.4213
Cu2 0.2808 0.2808 0.9429
Cu3 0.7192 0.7192 0.0571
Cu4 0.9045 0.9045 0.5787

no.,N(E_F) (states/eV per cell),total energy (eV per atom),theoretical density (Mg/m³)
1,3.26,-4.609,6.69
2,7.42,-5.877,9.74
3,4.42,-4.057,4.30
4,8.43,-5.394,9.03